Entry 1:
Material: Er4Mg3Hg
Method: DFT, PBE-GGA
State: optimized geometry

The value obtained for the total DFT energy (no corrections) is -3.089 eV per atom.

The space group is P4/mmm (No. 123) and the conventional cell measures 3.7591, 3.7591 and 14.8429 Å, with angles of 90.00, 90.00 and 90.00 degrees. The asymmetric unit holds Er at (0.0000, 0.0000, 0.1205), Er at (0.0000, 0.0000, 0.3727), Mg at (0.5000, 0.5000, 0.2490), Mg at (0.5000, 0.5000, 0.5000) and Hg at (0.5000, 0.5000, 0.0000).

Entry 2:
Material: Er4MgHg2
Method: DFT, PBE-GGA
State: optimized geometry

The value obtained for the total DFT energy (no corrections) is -2.978 eV per atom.

The space group is R-3m (No. 166, hexagonal axes) and the conventional cell measures 5.1970, 5.1970 and 26.2431 Å, with angles of 90.00, 90.00 and 120.00 degrees. The asymmetric unit holds Er at (0.0000, 0.0000, 0.1257), Er at (0.0000, 0.0000, 0.2834), Mg at (0.0000, 0.0000, 0.5000) and Hg at (0.0000, 0.0000, 0.3978).

Entry 3:
Material: ErMg2Hg5
Method: DFT, PBE-GGA
State: optimized geometry

The value obtained for the total DFT energy (no corrections) is -1.376 eV per atom.

The space group is I4/mcm (No. 140) and the conventional cell measures 7.7571, 7.7571 and 12.4885 Å, with angles of 90.00, 90.00 and 90.00 degrees. The asymmetric unit holds Er at (0.0000, 0.0000, 0.2500), Mg at (0.1511, 0.3489, 0.0000), Hg at (0.0000, 0.0000, 0.0000) and Hg at (0.1484, 0.3516, 0.3445).

Entry 4:
Material: ErMg3Hg4
Method: DFT, PBE-GGA
State: optimized geometry

The value obtained for the total DFT energy (no corrections) is -1.636 eV per atom.

The space group is R-3m (No. 166, hexagonal axes) and the conventional cell measures 4.9498, 4.9498 and 25.0393 Å, with angles of 90.00, 90.00 and 120.00 degrees. The asymmetric unit holds Er at (0.0000, 0.0000, 0.0000), Mg at (0.0000, 0.0000, 0.2492), Mg at (0.0000, 0.0000, 0.5000), Hg at (0.0000, 0.0000, 0.1267) and Hg at (0.0000, 0.0000, 0.3794).

Entry 5:
Material: ErMg2Hg3
Method: DFT, PBE-GGA
State: optimized geometry

The value obtained for the total DFT energy (no corrections) is -1.805 eV per atom.

The space group is P-3m1 (No. 164) and the conventional cell measures 5.0232, 5.0232 and 12.3017 Å, with angles of 90.00, 90.00 and 120.00 degrees. The asymmetric unit holds Er at (0.3333, 0.6667, 0.1639), Mg at (0.0000, 0.0000, 0.0000), Mg at (0.0000, 0.0000, 0.5000), Mg at (0.3333, 0.6667, 0.6644), Hg at (0.0000, 0.0000, 0.2576), Hg at (0.3333, 0.6667, 0.4175) and Hg at (0.3333, 0.6667, 0.9148).

Entry 6:
Material: Er2MgHg
Method: DFT, PBE-GGA
State: optimized geometry

The value obtained for the total DFT energy (no corrections) is -2.865 eV per atom.

The space group is R3m (No. 160, hexagonal axes) and the conventional cell measures 3.5549, 3.5549 and 30.4879 Å, with angles of 90.00, 90.00 and 120.00 degrees. The asymmetric unit holds Er at (0.0000, 0.0000, 0.0000), Er at (0.0000, 0.0000, 0.1775), Mg at (0.0000, 0.0000, 0.7551) and Hg at (0.0000, 0.0000, 0.5885).

Entry 7:
Material: Er2Mg3Hg4
Method: DFT, PBE-GGA
State: optimized geometry

The value obtained for the total DFT energy (no corrections) is -1.971 eV per atom.

The space group is Cmce (No. 64) and the conventional cell measures 6.2703, 16.8014 and 8.0016 Å, with angles of 90.00, 90.00 and 90.00 degrees. The asymmetric unit holds Er at (0.0000, 0.0998, 0.0922), Mg at (0.0000, 0.0000, 0.5000), Mg at (0.2500, 0.2299, 0.7500), Hg at (0.0000, 0.1694, 0.4599) and Hg at (0.2500, 0.0587, 0.7500).

Entry 8:
Material: Er4MgHg3
Method: DFT, PBE-GGA
State: optimized geometry

The value obtained for the total DFT energy (no corrections) is -2.970 eV per atom.

The space group is P4/mmm (No. 123) and the conventional cell measures 3.7281, 3.7281 and 14.6288 Å, with angles of 90.00, 90.00 and 90.00 degrees. The asymmetric unit holds Er at (0.0000, 0.0000, 0.1242), Er at (0.0000, 0.0000, 0.3716), Mg at (0.5000, 0.5000, 0.5000), Hg at (0.5000, 0.5000, 0.0000) and Hg at (0.5000, 0.5000, 0.2530).

Entry 9:
Material: Er4Mg3Hg
Method: DFT, PBE-GGA
State: optimized geometry

The value obtained for the total DFT energy (no corrections) is -3.034 eV per atom.

The space group is Pmm2 (No. 25) and the conventional cell measures 3.4178, 5.0042 and 12.4154 Å, with angles of 90.00, 90.00 and 90.00 degrees. The asymmetric unit holds Er at (0.0000, 0.0000, 0.0000), Er at (0.0000, 0.5000, 0.3325), Er at (0.5000, 0.0000, 0.4905), Er at (0.5000, 0.5000, 0.8414), Mg at (0.0000, 0.0000, 0.7321), Mg at (0.0000, 0.5000, 0.5988), Mg at (0.5000, 0.5000, 0.1025) and Hg at (0.5000, 0.0000, 0.2352).

Entry 10:
Material: ErMg2Hg2
Method: DFT, PBE-GGA
State: optimized geometry

The value obtained for the total DFT energy (no corrections) is -1.951 eV per atom.

The space group is P2_1/m (No. 11) and the conventional cell measures 5.0059, 3.5472 and 13.1255 Å, with angles of 90.00, 90.01 and 90.00 degrees. The asymmetric unit holds Er at (0.2491, 0.2500, 0.2553), Mg at (0.2498, 0.7500, 0.4748), Mg at (0.2511, 0.2500, 0.8635), Hg at (0.2490, 0.7500, 0.0503) and Hg at (0.2507, 0.2500, 0.6524).

Entry 11:
Material: NaErMgHg
Method: DFT, PBE-GGA
State: optimized geometry

The value obtained for the total DFT energy (no corrections) is -2.076 eV per atom.

The space group is F-43m (No. 216) and the conventional cell measures 7.2002, 7.2002 and 7.2002 Å, with angles of 90.00, 90.00 and 90.00 degrees. The asymmetric unit holds Na at (0.0000, 0.0000, 0.0000), Er at (0.2500, 0.2500, 0.7500), Mg at (0.2500, 0.2500, 0.2500) and Hg at (0.0000, 0.0000, 0.5000).

Entry 12:
Material: NdErMgHg
Method: DFT, PBE-GGA
State: optimized geometry

The value obtained for the total DFT energy (no corrections) is -3.062 eV per atom.

The space group is F-43m (No. 216) and the conventional cell measures 7.5767, 7.5767 and 7.5767 Å, with angles of 90.00, 90.00 and 90.00 degrees. The asymmetric unit holds Nd at (0.0000, 0.0000, 0.0000), Er at (0.0000, 0.0000, 0.5000), Mg at (0.2500, 0.2500, 0.7500) and Hg at (0.2500, 0.2500, 0.2500).

Respective calculated volume values: 26.2, 29.2, 23.5, 22.1, 22.4, 27.8, 23.4, 25.4, 26.5, 23.3, 23.3, 27.2 Å³ per atom.
Respective energy of formation values: -16.6, -5.5, -21.1, -30.5, -34.9, -10.6, -28.1, -36.3, -11.2, -27.1, -12.7, -24.7 kJ/mol of atoms.